(1)
A relaxed Dy2Cu3Ni crystal, computed with PBE-GGA.

Formation energy in eV/atom: -0.290
Crystal system: orthorhombic
N(E_F) in states/eV per atom: 0.78

Cell: 3.5431 4.2338 7.2110 Å, 90.00 90.00 90.00°
Last column: nearest neighbours and their distance in Å.
Atoms (fractional coordinates):
Cu1 0.5000 0.0000 0.1679  1 Cu 2.42, 2 Ni 2.42
Cu2 0.5000 0.5000 0.6659  1 Ni 2.42, 2 Cu 2.43
Ni1 0.5000 0.5000 0.3308  3 Cu 2.42
Cu3 0.5000 0.0000 0.8324  3 Cu 2.42-2.43
Dy1 0.0000 0.0000 0.4918  8 Cu 2.93-3.03, 4 Ni 2.99
Dy2 0.0000 0.5000 0.0113  2 Ni 2.91, 10 Cu 2.98-3.06

***

(2)
A relaxed Ca2In2GaPd5 crystal, computed with PBE-GGA.

Formation energy in eV/atom: -0.577
Crystal system: tetragonal
N(E_F) in states/eV per atom: 0.38

Cell: 3.4467 10.7176 10.7176 Å, 90.00 90.00 90.00°
Last column: nearest neighbours and their distance in Å.
Atoms (fractional coordinates):
Pd1 0.5000 0.0521 0.8166  2 Ga 2.67, 2 In 2.75, 2 Pd 2.89
Ca1 0.0000 0.6672 0.1672  3 In 2.99-3.26, 6 Pd 3.07-3.33
Ga1 0.0000 0.5000 0.5000  8 Pd 2.67
Pd2 0.5000 0.4479 0.3166  2 Ga 2.67, 2 In 2.75, 2 Pd 2.89
In1 0.0000 0.6354 0.8646  6 Pd 2.68-2.75, 1 Ca 2.99
Pd3 0.5000 0.8166 0.9479  2 Ga 2.67, 2 In 2.75, 2 Pd 2.89
Ga2 0.0000 0.0000 0.0000  8 Pd 2.67
Ca2 0.0000 0.8328 0.6672  3 In 2.99-3.26, 6 Pd 3.07-3.33
Pd4 0.5000 0.5521 0.6834  2 Ga 2.67, 2 In 2.75, 2 Pd 2.89
Pd5 0.5000 0.1834 0.0521  2 Ga 2.67, 2 In 2.75, 2 Pd 2.89
In2 0.0000 0.3646 0.1354  6 Pd 2.68-2.75, 1 Ca 2.99
Pd6 0.5000 0.9479 0.1834  2 Ga 2.67, 2 In 2.75, 2 Pd 2.89
Pd7 0.5000 0.5000 0.0000  4 In 2.68
Ca3 0.0000 0.3328 0.8328  3 In 2.99-3.26, 6 Pd 3.07-3.33
Ca4 0.0000 0.1672 0.3328  3 In 2.99-3.26, 6 Pd 3.07-3.33
In3 0.0000 0.8646 0.3646  6 Pd 2.68-2.75, 1 Ca 2.99
Pd8 0.5000 0.3166 0.5521  2 Ga 2.67, 2 In 2.75, 2 Pd 2.89
In4 0.0000 0.1354 0.6354  6 Pd 2.68-2.75, 1 Ca 2.99
Pd9 0.5000 0.6834 0.4479  2 Ga 2.67, 2 In 2.75, 2 Pd 2.89
Pd10 0.5000 0.0000 0.5000  4 In 2.68

***

(3)
A relaxed LiMoBr4 crystal, computed with PBE-GGA.

E_form (uncorrected) in eV/atom: 0.7402
Crystal system: cubic
N(E_F) in states/eV per atom: 0.83

Cell: 6.4036 6.4036 6.4036 Å, 60.00 60.00 60.00°
Last column: nearest neighbours and their distance in Å.
Atoms (fractional coordinates):
Br1 0.3752 0.8745 0.3752  6 Br 3.20-3.21
Br2 0.3752 0.3752 0.3752  6 Br 3.20-3.21
Br3 0.3752 0.3752 0.8745  6 Br 3.20-3.21
Mo1 0.0000 0.0000 0.0000  12 Br 3.75, 4 Li 3.92
Li1 0.7500 0.7500 0.7500  12 Br 3.75, 4 Mo 3.92
Br4 0.8745 0.3752 0.3752  6 Br 3.20-3.21